# FeCuCl2

FeCuCl2 after structural relaxation (PBE, Alexandria via LeMat-Bulk).

Unit cell a=6.623 b=6.623 c=6.623 alpha=131.38 beta=131.38 gamma=71.20
Fractional coordinates of all 8 atoms:
Fe  0.000  0.000  0.000
Fe  0.750  0.250  0.500
Cu  0.250  0.750  0.500
Cu  0.500  0.500  0.000
Cl  0.124  0.625  0.999
Cl  0.375  0.374  0.499
Cl  0.626  0.125  0.001
Cl  0.875  0.876  0.501

Results
The volume comes out at 20.01 Å³ per atom. The calculation puts the density of states at the Fermi level at 4.78 states/eV/cell. Its formation energy without anion corrections is -64 meV/atom. As for the symmetry: I-42d (122).